[1]
This record from the Alexandria database describes crystalline Sm3DyTm7 at its relaxed geometry. The functional is PBE-GGA.

The structure belongs to space group P3m1 (No. 156); the cell edges are 6.9891, 6.9891 and 8.5765 Å and the angles 90.00°, 90.00° and 120.00°. Symmetry generates all atoms from Sm at (0.9998, 0.4999, 0.0000), Dy at (0.3333, 0.6667, 0.3379), Tm at (0.1674, 0.3349, 0.6628), Tm at (0.3351, 0.1675, 0.3386) and Tm at (0.6667, 0.3333, 0.6626).

The energy above the most stable polymorph in this dataset comes out at 0 meV per atom. The crystal system is trigonal. The calculation puts the density of states at the Fermi level at 16.764 states/eV/f.u.

[2]
This record from the Alexandria database describes crystalline RbLaTa2Ru at its relaxed geometry. The functional is PBE-GGA.

The structure belongs to space group P4/mmm (No. 123); the cell edges are 4.887, 4.887 and 5.814 Å and the angles 90.00°, 90.00° and 90.00°. Symmetry generates all atoms from Rb at (0.000, 0.000, 0.000), La at (0.500, 0.500, 0.000), Ta at (0.000, 0.500, 0.500) and Ru at (0.000, 0.000, 0.500).

The crystal system is tetragonal. The calculation puts the density of states at the Fermi level at 7.945 states/eV/f.u.

[3]
This record from the Alexandria database describes crystalline RbDyTl2 at its relaxed geometry. The functional is PBE-GGA.

The structure belongs to space group P4/mmm (No. 123); the cell edges are 3.899, 3.899 and 8.969 Å and the angles 90.00°, 90.00° and 90.00°. Symmetry generates all atoms from Rb at (0.000, 0.000, 0.000), Dy at (0.000, 0.000, 0.500) and Tl at (0.500, 0.500, 0.303).

The energy above the most stable polymorph in this dataset comes out at 0 meV per atom. The crystal system is tetragonal. The calculation puts the density of states at the Fermi level at 2.558 states/eV/f.u.

[4]
This record from the Alexandria database describes crystalline KYP3 at its relaxed geometry. The functional is PBE-GGA.

The structure belongs to space group Pm-3m (No. 221); the cell edges are 5.023, 5.023 and 5.023 Å and the angles 90.00°, 90.00° and 90.00°. Symmetry generates all atoms from K at (0.000, 0.000, 0.000), Y at (0.500, 0.500, 0.500) and P at (0.000, 0.000, 0.500).

The energy above the most stable polymorph in this dataset comes out at 1000 meV per atom. The crystal system is cubic. The calculation puts the density of states at the Fermi level at 3.624 states/eV/f.u.

Values of energy relative to the elements, in order: 0.1846, 1.1848, -0.1748, 1.1028, all in eV/atom.
Values of uncorrected energy, in order: -4.37, -6.59, -2.75, -3.66, all in eV per atom.